Computed, not measured: Tb3MgFe after structural relaxation at the GGA-PBE level of DFT.

Computed properties:
Distance to the lowest polymorph of the same formula = 25.0 meV per atom
V = 25.70 A^3/atom
N(E_F) = 19.398 states/eV/cell
Total DFT energy (no corrections) = -4.690 eV/atom
E_form = 100 meV per atom
Magnetic moment = 0.82 μB/cell

a b c (Å): 4.9053 7.7227 13.5689
angles (deg): 90.00 90.00 90.00
Each line ends with the local moment (μB).
Positions (direct):
Tb: 0.2500 0.1455 0.4589  -0.06
Tb: 0.7500 0.3545 0.9589  -0.06
Tb: 0.7500 0.8545 0.5411  -0.06
Tb: 0.2500 0.6455 0.0411  -0.06
Tb: 0.2500 0.4191 0.7657  -0.04
Tb: 0.7500 0.0809 0.2657  -0.04
Tb: 0.7500 0.5809 0.2343  -0.04
Tb: 0.2500 0.9191 0.7343  -0.04
Tb: 0.2500 0.0921 0.0694  -0.08
Tb: 0.7500 0.4079 0.5694  -0.08
Tb: 0.7500 0.9079 0.9306  -0.08
Tb: 0.2500 0.5921 0.4306  -0.08
Mg: 0.2500 0.3424 0.2537  0.00
Mg: 0.7500 0.1576 0.7537  0.00
Mg: 0.7500 0.6576 0.7463  0.00
Mg: 0.2500 0.8424 0.2463  0.00
Fe: 0.2500 0.1547 0.8871  0.45
Fe: 0.7500 0.3453 0.3871  0.45
Fe: 0.7500 0.8453 0.1129  0.45
Fe: 0.2500 0.6547 0.6129  0.45


Computed, not measured: TbMgFe after structural relaxation at the GGA-PBE level of DFT.

Computed properties:
V = 21.70 A^3/atom
N(E_F) = 5.083 states/eV/cell
Total DFT energy (no corrections) = -4.930 eV/atom
E_form = -35 meV per atom
Magnetic moment = 1.68 μB/cell

a b c (Å): 3.7311 4.0508 8.8504
angles (deg): 103.23 90.00 90.00
Each line ends with the local moment (μB).
Positions (direct):
Tb: 0.2500 0.9105 0.8211  -0.19
Tb: 0.7500 0.0895 0.1789  -0.19
Mg: 0.7500 0.2977 0.5955  -0.01
Mg: 0.2500 0.7023 0.4045  -0.01
Fe: 0.2500 0.5346 0.0691  1.10
Fe: 0.7500 0.4654 0.9309  1.10


Computed, not measured: Tb4MgFe after structural relaxation at the GGA-PBE level of DFT.

Computed properties:
V = 27.44 A^3/atom
N(E_F) = 13.203 states/eV/cell
Total DFT energy (no corrections) = -4.759 eV/atom
E_form = 4 meV per atom
Magnetic moment = 0.00 μB/cell

a b c (Å): 5.8592 7.2093 9.0581
angles (deg): 113.45 108.52 90.00
Positions (direct):
Tb: 0.8040 0.3200 0.6399
Tb: 0.6177 0.3625 0.2381
Tb: 0.0000 0.2337 0.0000
Tb: 0.3823 0.1244 0.7619
Tb: 0.1960 0.6800 0.3601
Tb: 0.3823 0.6375 0.7619
Tb: 0.0000 0.7663 0.0000
Tb: 0.6177 0.8756 0.2381
Mg: 0.1896 0.1930 0.3860
Mg: 0.8104 0.8070 0.6140
Fe: 0.6665 0.4821 0.9643
Fe: 0.3335 0.5179 0.0357


Computed, not measured: Tb3MgFe after structural relaxation at the GGA-PBE level of DFT.

Computed properties:
Distance to the lowest polymorph of the same formula = 0.0 meV per atom
V = 28.22 A^3/atom
N(E_F) = 4.256 states/eV/cell
Total DFT energy (no corrections) = -4.715 eV/atom
E_form = 75 meV per atom
Magnetic moment = 0.00 μB/cell

a b c (Å): 5.2062 5.2062 5.2062
angles (deg): 90.00 90.00 90.00
Positions (direct):
Mg: 0.5000 0.5000 0.5000
Tb: 0.0000 0.5000 0.0000
Tb: 0.0000 0.0000 0.5000
Tb: 0.5000 0.0000 0.0000
Fe: 0.0000 0.0000 0.0000


Computed, not measured: Tb5Mg2Fe2 after structural relaxation at the GGA-PBE level of DFT.

Computed properties:
V = 25.70 A^3/atom
N(E_F) = 20.212 states/eV/cell
Total DFT energy (no corrections) = -4.791 eV/atom
E_form = 16 meV per atom
Magnetic moment = 2.54 μB/cell

a b c (Å): 7.1475 7.2739 9.5880
angles (deg): 90.00 68.12 90.00
Each line ends with the local moment (μB).
Positions (direct):
Tb: 0.0000 0.0000 0.0000  -0.17
Tb: 0.5000 0.5000 0.0000  -0.17
Tb: 0.4276 0.1863 0.7727  -0.13
Tb: 0.7997 0.8137 0.7727  -0.13
Tb: 0.2997 0.6863 0.7727  -0.13
Tb: 0.9276 0.3137 0.7727  -0.13
Tb: 0.5724 0.8137 0.2273  -0.13
Tb: 0.2003 0.1863 0.2273  -0.13
Tb: 0.7003 0.3137 0.2273  -0.13
Tb: 0.0724 0.6863 0.2273  -0.13
Mg: 0.2327 0.0000 0.5346  0.00
Mg: 0.7327 0.5000 0.5346  0.00
Mg: 0.7673 0.0000 0.4654  0.00
Mg: 0.2673 0.5000 0.4654  0.00
Fe: 0.1031 0.3918 0.0000  1.06
Fe: 0.8969 0.6082 0.0000  1.06
Fe: 0.3969 0.8918 0.0000  1.06
Fe: 0.6031 0.1082 0.0000  1.06


Computed, not measured: MgFe2Tc after structural relaxation at the GGA-PBE level of DFT.

Computed properties:
V = 13.42 A^3/atom
N(E_F) = 3.475 states/eV/cell
Total DFT energy (no corrections) = -6.903 eV/atom
E_form = 318 meV per atom
Magnetic moment = 3.99 μB/cell

a b c (Å): 4.6058 4.6058 4.6058
angles (deg): 131.50 131.50 71.02
Each line ends with the local moment (μB).
Positions (direct):
Fe: 0.0000 0.0000 0.0000  1.59
Fe: 0.2500 0.7500 0.5000  2.32
Mg: 0.5000 0.5000 0.0000  -0.02
Tc: 0.7500 0.2500 0.5000  0.10


Which of these has the highest V?
number 4